A geometry-optimized LaTl2Hg structure, computed with PBE.

Summary:
As for the density of states at the Fermi level: 9.9 states/eV per cell. The symmetry is R3m, No. 160. The value obtained for the volume is 30.301 A^3/atom. The formation energy from the elements comes out at -0.1224 eV/atom.

Cell lengths 3.622, 3.622, 31.996 Å; angles 90.00, 90.00, 120.00 degrees
Sites, in units of the cell vectors:
1 La 0.000 0.000 0.000
2 La 0.333 0.667 0.667
3 La 0.667 0.333 0.333
4 Tl 0.000 0.000 0.246
5 Tl 0.000 0.000 0.496
6 Tl 0.333 0.667 0.162
7 Tl 0.333 0.667 0.913
8 Tl 0.667 0.333 0.580
9 Tl 0.667 0.333 0.829
10 Hg 0.000 0.000 0.748
11 Hg 0.333 0.667 0.415
12 Hg 0.667 0.333 0.082

***

A geometry-optimized LaTlHg structure, computed with PBE.

Summary:
As for the density of states at the Fermi level: 4.3 states/eV per cell. The symmetry is P1, No. 1. The value obtained for the volume is 29.424 A^3/atom. The formation energy from the elements comes out at -0.3617 eV/atom.

Cell lengths 4.784, 6.704, 6.856 Å; angles 118.96, 110.23, 90.22 degrees
Sites, in units of the cell vectors:
1 La 0.000 0.000 0.000
2 La 0.354 0.267 0.705
3 Tl 0.304 0.704 0.608
4 Tl 0.676 0.878 0.349
5 Hg 0.031 0.540 0.060
6 Hg 0.660 0.366 0.320

***

A geometry-optimized La3Tl2Hg structure, computed with PBE.

Summary:
As for the density of states at the Fermi level: 7.5 states/eV per cell. The energy relative to the lowest polymorph listed for this composition is 0.0 meV/atom. The symmetry is P4/mmm, No. 123. The value obtained for the volume is 31.052 A^3/atom. The formation energy from the elements comes out at -0.4481 eV/atom.

Cell lengths 3.871, 3.871, 12.436 Å; angles 90.00, 90.00, 90.00 degrees
Sites, in units of the cell vectors:
1 La 0.000 0.000 0.000
2 La 0.000 0.000 0.340
3 La 0.000 0.000 0.660
4 Tl 0.500 0.500 0.172
5 Tl 0.500 0.500 0.828
6 Hg 0.500 0.500 0.500